# 1
Here is crystalline Hf4HgC2S at its relaxed geometry from OQMD via LeMat-Bulk. Energies are from PBE.

abc: 3.346 3.346 13.379
angles: 90.00 90.00 120.00
Fractional positions:
1 C 0.667 0.333 0.271
2 C 0.667 0.333 0.729
3 Hf 0.333 0.667 0.181
4 Hf 0.000 0.000 0.364
5 Hf 0.000 0.000 0.636
6 Hf 0.333 0.667 0.819
7 Hg 0.000 0.000 0.000
8 S 0.333 0.667 0.500

symmetry: No. 187
final energy: -8.8215 eV per atom
spin magnetization: 0.006 Bohr magnetons per cell

=====

# 2
Here is crystalline BaLi2Ir at its relaxed geometry from OQMD via LeMat-Bulk. Energies are from PBE.

abc: 4.981 4.981 4.981
angles: 60.00 60.00 60.00
Fractional positions:
1 Ba 0.500 0.500 0.500
2 Ir 0.250 0.250 0.250
3 Li 0.000 0.000 0.000
4 Li 0.750 0.750 0.750

symmetry: No. 216
final energy: -3.4419 eV per atom
spin magnetization: 0.004 Bohr magnetons per cell

=====

# 3
Here is crystalline DyTlAg at its relaxed geometry from OQMD via LeMat-Bulk. Energies are from PBE.

abc: 4.823 4.823 4.823
angles: 60.00 60.00 60.00
Fractional positions:
1 Ag 0.000 0.000 0.000
2 Dy 0.250 0.250 0.250
3 Tl 0.750 0.750 0.750

symmetry: No. 216
final energy: -3.4441 eV per atom
spin magnetization: 0.003 Bohr magnetons per cell

=====

# 4
Here is crystalline K2Ni3As2 at its relaxed geometry from OQMD via LeMat-Bulk. Energies are from PBE.

abc: 11.428 11.428 11.428
angles: 20.34 20.34 20.34
Fractional positions:
1 As 0.004 0.004 0.004
2 As 0.508 0.508 0.508
3 K 0.251 0.251 0.251
4 K 0.757 0.757 0.757
5 Ni 0.347 0.347 0.347
6 Ni 0.662 0.662 0.662
7 Ni 0.846 0.846 0.846

symmetry: No. 160
final energy: -4.2226 eV per atom
spin magnetization: 0.482 Bohr magnetons per cell

=====

# 5
Here is crystalline LiTbCdS3 at its relaxed geometry from OQMD via LeMat-Bulk. Energies are from PBE.

abc: 7.377 3.964 10.625
angles: 90.00 104.27 90.00
Fractional positions:
1 Cd 0.960 0.750 0.381
2 Cd 0.040 0.250 0.619
3 Li 0.167 0.250 0.107
4 Li 0.833 0.750 0.893
5 S 0.410 0.750 0.122
6 S 0.937 0.750 0.140
7 S 0.753 0.250 0.419
8 S 0.247 0.750 0.581
9 S 0.063 0.250 0.860
10 S 0.590 0.250 0.878
11 Tb 0.669 0.250 0.146
12 Tb 0.331 0.750 0.854

relative energy among the computed polymorphs: 0.0000 eV/atom
symmetry: No. 11
spin magnetization: 0.004 Bohr magnetons per cell

=====

# 6
Here is crystalline Na2CdSiTe4 at its relaxed geometry from OQMD via LeMat-Bulk. Energies are from PBE.

abc: 7.450 7.450 7.225
angles: 119.00 119.00 93.38
Fractional positions:
1 Cd 0.014 0.986 0.500
2 Na 0.764 0.236 0.000
3 Na 0.515 0.485 0.500
4 Si 0.264 0.736 0.000
5 Te 0.943 0.657 0.023
6 Te 0.608 0.837 0.423
7 Te 0.163 0.392 0.577
8 Te 0.343 0.057 0.977

symmetry: No. 5
final energy: -3.1874 eV per atom

=====

# 7
Here is crystalline ErSb2 at its relaxed geometry from OQMD via LeMat-Bulk. Energies are from PBE.

abc: 5.134 5.134 5.134
angles: 60.00 60.00 60.00
Fractional positions:
1 Er 0.000 0.000 0.000
2 Sb 0.250 0.250 0.250
3 Sb 0.750 0.750 0.750

symmetry: No. 225
final energy: -4.6095 eV per atom
spin magnetization: 0.001 Bohr magnetons per cell

=====

# 8
Here is crystalline RbGdFeTe3 at its relaxed geometry from OQMD via LeMat-Bulk. Energies are from PBE.

abc: 12.138 4.602 14.072
angles: 90.00 90.00 90.00
Each line ends with the local moment (μB).
Fractional positions:
1 Fe 0.739 0.000 0.212  3.19
2 Fe 0.239 0.000 0.288  3.19
3 Fe 0.761 0.500 0.712  3.19
4 Fe 0.261 0.500 0.788  3.19
5 Gd 0.484 0.500 0.186  0.03
6 Gd 0.984 0.500 0.314  0.03
7 Gd 0.016 0.000 0.686  0.03
8 Gd 0.516 0.000 0.814  0.03
9 Rb 0.820 0.500 0.001  0.01
10 Rb 0.320 0.500 0.499  0.01
11 Rb 0.680 0.000 0.501  0.01
12 Rb 0.180 0.000 0.999  0.01
13 Te 0.595 0.000 0.069  0.08
14 Te 0.950 0.000 0.164  0.11
15 Te 0.219 0.500 0.196  0.12
16 Te 0.719 0.500 0.304  0.11
17 Te 0.450 0.000 0.336  0.10
18 Te 0.095 0.000 0.431  0.08
19 Te 0.905 0.500 0.569  0.08
20 Te 0.550 0.500 0.664  0.10
21 Te 0.281 0.000 0.696  0.11
22 Te 0.781 0.000 0.804  0.12
23 Te 0.050 0.500 0.836  0.11
24 Te 0.405 0.500 0.931  0.08

relative energy among the computed polymorphs: 0.0921 eV/atom
symmetry: No. 62
spin magnetization: 16.037 Bohr magnetons per cell